No. 1
Mg3Tl: relaxed, PBE-GGA.

a = 5.4815 Å, b = 5.4815 Å, c = 5.4815 Å
α = 90.00°, β = 90.00°, γ = 90.00°
Closest atoms and distances in Å follow each position.
Space group Pm-3m (No. 221)
Symmetry-distinct sites (fractional):
Mg (0.0000, 0.0000, 0.5000) x3  2 Tl 2.74
Tl (0.0000, 0.0000, 0.0000) x1  6 Mg 2.74

The calculated density is 2.8 g/cm³. The spin magnetization is 0.0 μB per cell. The calculation puts the formation energy at 46.8 kJ/mol of atoms.

---

No. 2
MgTl6: relaxed, PBE-GGA.

a = 5.5381 Å, b = 5.5381 Å, c = 23.2627 Å
α = 90.00°, β = 90.00°, γ = 120.00°
Closest atoms and distances in Å follow each position.
Space group R-3m (No. 166, hexagonal axes)
Symmetry-distinct sites (fractional):
Mg (0.0000, 0.0000, 0.0000) x3  8 Tl 3.28-3.38
Tl (0.0000, 0.0000, 0.1409) x6  1 Mg 3.28, 7 Tl 3.37-3.42
Tl (0.0000, 0.0000, 0.2868) x6  5 Tl 3.30-3.40, 3 Mg 3.38
Tl (0.0000, 0.0000, 0.4287) x6  8 Tl 3.30-3.39

The calculated density is 10.1 g/cm³. The spin magnetization is 0.0 μB per cell. Its relative energy among the computed polymorphs is 0.0 kJ/mol of formula units. The calculation puts the formation energy at 2.2 kJ/mol of atoms.

---

No. 3
Mg3Tl: relaxed, PBE-GGA.

a = 4.5460 Å, b = 4.5460 Å, c = 9.0549 Å
α = 90.00°, β = 90.00°, γ = 90.00°
Closest atoms and distances in Å follow each position.
Space group I4/mmm (No. 139)
Symmetry-distinct sites (fractional):
Mg (0.0000, 0.0000, 0.0000) x2  8 Mg 3.21, 4 Tl 3.21
Mg (0.0000, 0.5000, 0.2500) x4  4 Tl 3.21, 8 Mg 3.21
Tl (0.0000, 0.0000, 0.5000) x2  12 Mg 3.21

The calculated density is 4.9 g/cm³. The spin magnetization is 0.0 μB per cell. The calculation puts the formation energy at -2.6 kJ/mol of atoms.

---

No. 4
Mg7Tl5: relaxed, PBE-GGA.

a = 8.8288 Å, b = 5.0681 Å, c = 13.5972 Å
α = 90.00°, β = 98.37°, γ = 90.00°
Closest atoms and distances in Å follow each position.
Space group C2/m (No. 12)
Symmetry-distinct sites (fractional):
Mg (0.0000, 0.0000, 0.0000) x2  6 Tl 3.06-3.11
Mg (0.0728, 0.5000, 0.7149) x4  5 Tl 2.90-2.94
Mg (0.1930, 0.0000, 0.5810) x4  6 Tl 3.07-3.43, 3 Mg 3.34-3.38
Mg (0.2281, 0.5000, 0.1711) x4  7 Tl 3.16-3.45, 4 Mg 3.27-3.34
Tl (0.0000, 0.5000, 0.5000) x2  8 Mg 2.90-3.16
Tl (0.0981, 0.0000, 0.2954) x4  4 Mg 2.93-3.27
Tl (0.1480, 0.5000, 0.9315) x4  7 Mg 2.92-3.23

The calculated density is 6.6 g/cm³. The spin magnetization is 0.0 μB per cell. Its relative energy among the computed polymorphs is 6.4 kJ/mol of formula units. The calculation puts the formation energy at -0.6 kJ/mol of atoms.